# BaLi3Al | Alexandria | PBEsol | relaxed
data_BaLi3Al
_space_group_name_H-M_alt 'P m -3 m'
_space_group_IT_number 221
_space_group_name_Hall '-P 4 2 3'
_cell_length_a 5.329
_cell_length_b 5.329
_cell_length_c 5.329
_cell_angle_alpha 90.00
_cell_angle_beta 90.00
_cell_angle_gamma 90.00
loop_
_atom_site_label
_atom_site_type_symbol
_atom_site_fract_x
_atom_site_fract_y
_atom_site_fract_z
Ba1 Ba 0.000 0.000 0.000
Li1 Li 0.000 0.000 0.500
Al1 Al 0.500 0.500 0.500
# E above lowest polymorph: 25.26 kcal/mol of atoms
# energy relative to the elements: 1126 meV per atom